# Hf2ReF (PBE-GGA, relaxed)
data_Hf2ReF
_cell_length_a 6.489
_cell_length_b 6.489
_cell_length_c 6.489
_cell_angle_alpha 90.00
_cell_angle_beta 90.00
_cell_angle_gamma 90.00
_space_group_name_H-M_alt 'F m -3 m'
_space_group_IT_number 225
_space_group_name_Hall '-F 4 2 3'
loop_
_atom_site_label
_atom_site_fract_x
_atom_site_fract_y
_atom_site_fract_z
Hf1 0.250 0.250 0.250
Re1 0.000 0.000 0.000
F1 0.000 0.000 0.500
# DOS(E_F) ... 0.134 states/eV/atom
# Energy relative to the lowest polymorph listed for this composition ... 99 meV per atom
# Formation energy without anion corrections ... -0.50 eV/atom
# M_tot ... 0.00 μB/f.u.


# Hf2ReF (PBE-GGA, relaxed)
data_Hf2ReF
_cell_length_a 6.509
_cell_length_b 6.509
_cell_length_c 6.556
_cell_angle_alpha 90.00
_cell_angle_beta 90.00
_cell_angle_gamma 90.00
_space_group_name_H-M_alt 'I -4 2 d'
_space_group_IT_number 122
_space_group_name_Hall 'I -4 2bw'
loop_
_atom_site_label
_atom_site_fract_x
_atom_site_fract_y
_atom_site_fract_z
Hf1 0.191 0.250 0.125
Re1 0.000 0.000 0.500
F1 0.000 0.000 0.000
# DOS(E_F) ... 0.514 states/eV/atom
# Energy relative to the lowest polymorph listed for this composition ... 0 meV per atom
# Formation energy without anion corrections ... -0.60 eV/atom
# M_tot ... 0.00 μB/f.u.


# HfRe3F (PBE-GGA, relaxed)
data_HfRe3F
_cell_length_a 4.840
_cell_length_b 4.840
_cell_length_c 4.840
_cell_angle_alpha 90.00
_cell_angle_beta 90.00
_cell_angle_gamma 90.00
_space_group_name_H-M_alt 'P m -3 m'
_space_group_IT_number 221
_space_group_name_Hall '-P 4 2 3'
loop_
_atom_site_label
_atom_site_fract_x
_atom_site_fract_y
_atom_site_fract_z
Hf1 0.000 0.000 0.000
Re1 0.000 0.000 0.500
F1 0.500 0.500 0.500
# DOS(E_F) ... 2.069 states/eV/atom
# Energy relative to the lowest polymorph listed for this composition ... 1875 meV per atom
# Formation energy without anion corrections ... 2.75 eV/atom
# M_tot ... 3.24 μB/f.u.